one.
# BaAl2WI

BaAl2WI after structural relaxation (PBE, the Alexandria database).

```
data_BaAl2WI
_cell_length_a 4.993
_cell_length_b 4.993
_cell_length_c 5.783
_cell_angle_alpha 90.00
_cell_angle_beta 90.00
_cell_angle_gamma 90.00
_space_group_name_H-M_alt 'P 4/m m m'
_space_group_IT_number 123
_space_group_name_Hall '-P 4 2'
loop_
_atom_site_label
_atom_site_type_symbol
_atom_site_fract_x
_atom_site_fract_y
_atom_site_fract_z
Ba1 Ba 0.000 0.000 0.000
Al1 Al 0.000 0.500 0.500
W1 W 0.500 0.500 0.500
I1 I 0.500 0.500 0.000
```



two.
# BaAl2WI

BaAl2WI after structural relaxation (PBE, the Alexandria database).

```
data_BaAl2WI
_cell_length_a 5.054
_cell_length_b 5.054
_cell_length_c 6.109
_cell_angle_alpha 90.00
_cell_angle_beta 90.00
_cell_angle_gamma 90.00
_space_group_name_H-M_alt 'P 4/m m m'
_space_group_IT_number 123
_space_group_name_Hall '-P 4 2'
loop_
_atom_site_label
_atom_site_type_symbol
_atom_site_fract_x
_atom_site_fract_y
_atom_site_fract_z
Ba1 Ba 0.000 0.000 0.000
Al1 Al 0.000 0.500 0.500
W1 W 0.000 0.000 0.500
I1 I 0.500 0.500 0.000
```



one is favored, and the nearest alternative lies 175 meV/atom above it.